Density functional theory data (PBE) for an optimized crystal structure of MnCdRe2.

The density of states at the Fermi level comes out at 2.3 states/eV per cell. Its symmetry is Cmmm, No. 65. The calculation puts the formation energy at 1.47 eV per formula unit. The total energy is -8.379 eV per atom.

Cell: 2.688 2.688 9.111 Å, 90.00 90.00 110.04°
Element x y z (fractional)
Re  0.000  0.000  0.972
Cd  0.500  0.500  0.250
Mn  0.500  0.500  0.750
Re  0.000  0.000  0.528